La2YPt2 (GGA-PBEsol, optimized geometry); electronic total energy = -72.20 eV/cell; density = 10.075 g/cm3; SG = P4/mbm, No. 127; magnetic moment = 0.00 μB/f.u.; DOS(E_F) = 8.6 states/eV/cell
1.0
7.8258 0.0000 0.0000
0.0000 7.8258 0.0000
0.0000 0.0000 4.0740
La Y Pt
4 2 4
Direct
0.1649 0.3351 0.0000
0.3351 0.8351 0.0000
0.6649 0.1649 0.0000
0.8351 0.6649 0.0000
0.0000 0.0000 0.5000
0.5000 0.5000 0.5000
0.1362 0.6362 0.5000
0.3638 0.1362 0.5000
0.6362 0.8638 0.5000
0.8638 0.3638 0.5000



LaY2Pt (GGA-PBEsol, optimized geometry); electronic total energy = -54.32 eV/cell; density = 8.638 g/cm3; SG = I-4m2, No. 119; excess energy over the best structure of this formula in the dataset = 233 meV per atom; magnetic moment = 0.00 μB/f.u.; DOS(E_F) = 13.0 states/eV/cell
1.0
4.3652 0.0000 0.0000
0.0000 4.3652 0.0000
0.0000 0.0000 10.3268
La Y Pt
2 4 2
Direct
0.0000 0.0000 0.0000
0.5000 0.5000 0.5000
0.0000 0.0000 0.5000
0.0000 0.5000 0.7500
0.5000 0.0000 0.2500
0.5000 0.5000 0.0000
0.0000 0.5000 0.2500
0.5000 0.0000 0.7500



La3YPt (GGA-PBEsol, optimized geometry); electronic total energy = -30.75 eV/cell; density = 6.433 g/cm3; SG = Pm-3m, No. 221; magnetic moment = 1.09 μB/f.u.; DOS(E_F) = 11.9 states/eV/cell
1.0
5.6555 0.0000 0.0000
0.0000 5.6555 0.0000
0.0000 0.0000 5.6555
La Y Pt
3 1 1
Direct
0.0000 0.0000 0.5000
0.0000 0.5000 0.0000
0.5000 0.0000 0.0000
0.5000 0.5000 0.5000
0.0000 0.0000 0.0000



LaY2Pt (GGA-PBEsol, optimized geometry); electronic total energy = -56.18 eV/cell; density = 7.779 g/cm3; SG = Immm, No. 71; excess energy over the best structure of this formula in the dataset = 0 meV per atom; magnetic moment = 0.00 μB/f.u.; DOS(E_F) = 10.3 states/eV/cell
1.0
3.6237 0.0000 0.0000
0.0000 5.3591 0.0000
0.0000 0.0000 11.2522
La Y Pt
2 4 2
Direct
0.0000 0.0000 0.0000
0.5000 0.5000 0.5000
0.0000 0.5000 0.1972
0.0000 0.5000 0.8028
0.5000 0.0000 0.3028
0.5000 0.0000 0.6972
0.0000 0.0000 0.5000
0.5000 0.5000 0.0000



LaY2Pt2 (GGA-PBEsol, optimized geometry); electronic total energy = -75.19 eV/cell; density = 9.921 g/cm3; SG = P4/mbm, No. 127; excess energy over the best structure of this formula in the dataset = 0 meV per atom; magnetic moment = 0.00 μB/f.u.; DOS(E_F) = 8.3 states/eV/cell
1.0
7.7633 0.0000 0.0000
0.0000 7.7633 0.0000
0.0000 0.0000 3.9263
La Y Pt
2 4 4
Direct
0.0000 0.0000 0.0000
0.5000 0.5000 0.0000
0.1586 0.3414 0.5000
0.3414 0.8414 0.5000
0.6586 0.1586 0.5000
0.8414 0.6586 0.5000
0.1342 0.6342 0.0000
0.3658 0.1342 0.0000
0.6342 0.8658 0.0000
0.8658 0.3658 0.0000



LaY2Pt2 (GGA-PBEsol, optimized geometry); electronic total energy = -74.37 eV/cell; density = 9.355 g/cm3; SG = I4/mmm, No. 139; excess energy over the best structure of this formula in the dataset = 82 meV per atom; magnetic moment = 0.00 μB/f.u.; DOS(E_F) = 10.6 states/eV/cell
1.0
4.6610 0.0000 0.0000
0.0000 4.6610 0.0000
0.0000 0.0000 11.5514
La Y Pt
2 4 4
Direct
0.0000 0.0000 0.0000
0.5000 0.5000 0.5000
0.0000 0.5000 0.2500
0.0000 0.5000 0.7500
0.5000 0.0000 0.2500
0.5000 0.0000 0.7500
0.0000 0.0000 0.3868
0.0000 0.0000 0.6132
0.5000 0.5000 0.1132
0.5000 0.5000 0.8868



LaYPt2 (GGA-PBEsol, optimized geometry); electronic total energy = -61.41 eV/cell; density = 11.248 g/cm3; SG = Amm2, No. 38; excess energy over the best structure of this formula in the dataset = 0 meV per atom; magnetic moment = 0.00 μB/f.u.; DOS(E_F) = 5.3 states/eV/cell
1.0
4.4992 0.0000 0.0000
0.0000 3.8058 0.0000
0.0000 0.0000 10.6560
La Y Pt
2 2 4
Direct
0.0000 0.0000 0.0000
0.0000 0.5000 0.5000
0.5000 0.0000 0.7255
0.5000 0.5000 0.2255
0.0000 0.0000 0.2722
0.0000 0.5000 0.7722
0.5000 0.0000 0.4476
0.5000 0.5000 0.9476



LaYPt2 (GGA-PBEsol, optimized geometry); electronic total energy = -116.90 eV/cell; density = 12.943 g/cm3; SG = F-43m, No. 216; excess energy over the best structure of this formula in the dataset = 370 meV per atom; magnetic moment = 0.00 μB/f.u.; DOS(E_F) = 12.7 states/eV/cell
1.0
6.8195 0.0000 0.0000
0.0000 6.8195 0.0000
0.0000 0.0000 6.8195
La Y Pt
4 4 8
Direct
0.0000 0.0000 0.0000
0.0000 0.5000 0.5000
0.5000 0.0000 0.5000
0.5000 0.5000 0.0000
0.2500 0.2500 0.7500
0.2500 0.7500 0.2500
0.7500 0.2500 0.2500
0.7500 0.7500 0.7500
0.0000 0.0000 0.5000
0.0000 0.5000 0.0000
0.2500 0.2500 0.2500
0.2500 0.7500 0.7500
0.5000 0.0000 0.0000
0.5000 0.5000 0.5000
0.7500 0.2500 0.7500
0.7500 0.7500 0.2500



LaZn2Pt2 (GGA-PBEsol, optimized geometry); electronic total energy = -52.60 eV/cell; density = 11.623 g/cm3; SG = I4/mmm, No. 139; magnetic moment = 0.00 μB/f.u.; DOS(E_F) = 4.0 states/eV/cell
1.0
3.9650 0.0000 0.0000
0.0000 3.9650 0.0000
0.0000 0.0000 11.9938
La Zn Pt
2 4 4
Direct
0.0000 0.0000 0.0000
0.5000 0.5000 0.5000
0.0000 0.5000 0.2500
0.0000 0.5000 0.7500
0.5000 0.0000 0.2500
0.5000 0.0000 0.7500
0.0000 0.0000 0.3877
0.0000 0.0000 0.6123
0.5000 0.5000 0.1123
0.5000 0.5000 0.8877



LaZn3Pt (GGA-PBEsol, optimized geometry); electronic total energy = -18.78 eV/cell; density = 8.258 g/cm3; SG = Pm-3m, No. 221; magnetic moment = 0.00 μB/f.u.; DOS(E_F) = 3.3 states/eV/cell
1.0
4.7417 0.0000 0.0000
0.0000 4.7417 0.0000
0.0000 0.0000 4.7417
La Zn Pt
1 3 1
Direct
0.0000 0.0000 0.0000
0.0000 0.5000 0.5000
0.5000 0.0000 0.5000
0.5000 0.5000 0.0000
0.5000 0.5000 0.5000



LaZn4Pt (GGA-PBEsol, optimized geometry); electronic total energy = -20.60 eV/cell; density = 9.734 g/cm3; SG = F-43m, No. 216; magnetic moment = 0.00 μB/f.u.; DOS(E_F) = 3.4 states/eV/cell
1.0
0.0000 3.7037 3.7037
3.7037 0.0000 3.7037
3.7037 3.7037 0.0000
La Zn Pt
1 4 1
Direct
0.0000 0.0000 0.0000
0.1301 0.6233 0.6233
0.6233 0.1301 0.6233
0.6233 0.6233 0.1301
0.6233 0.6233 0.6233
0.2500 0.2500 0.2500



La2ZrPt (GGA-PBEsol, optimized geometry); electronic total energy = -55.23 eV/cell; density = 9.738 g/cm3; SG = I-4m2, No. 119; excess energy over the best structure of this formula in the dataset = 190 meV per atom; magnetic moment = 0.00 μB/f.u.; DOS(E_F) = 11.6 states/eV/cell
1.0
4.3278 0.0000 0.0000
0.0000 4.3278 0.0000
0.0000 0.0000 10.2719
La Zr Pt
4 2 2
Direct
0.0000 0.0000 0.0000
0.0000 0.5000 0.2500
0.5000 0.0000 0.7500
0.5000 0.5000 0.5000
0.0000 0.5000 0.7500
0.5000 0.0000 0.2500
0.0000 0.0000 0.5000
0.5000 0.5000 0.0000



La2ZrPt (GGA-PBEsol, optimized geometry); electronic total energy = -56.75 eV/cell; density = 9.041 g/cm3; SG = Imm2, No. 44; excess energy over the best structure of this formula in the dataset = 0 meV per atom; magnetic moment = 0.00 μB/f.u.; DOS(E_F) = 9.9 states/eV/cell
1.0
3.5573 0.0000 0.0000
0.0000 5.3618 0.0000
0.0000 0.0000 10.8641
La Zr Pt
4 2 2
Direct
0.0000 0.0000 0.0000
0.0000 0.5000 0.2105
0.5000 0.0000 0.7105
0.5000 0.5000 0.5000
0.0000 0.0000 0.4196
0.5000 0.5000 0.9196
0.0000 0.5000 0.7372
0.5000 0.0000 0.2372



LaZr2Pt (GGA-PBEsol, optimized geometry); electronic total energy = -93.63 eV/cell; density = 8.958 g/cm3; SG = R-3m, No. 166; magnetic moment = 0.00 μB/f.u.; DOS(E_F) = 14.6 states/eV/cell
1.0
3.4734 0.0000 0.0000
-1.7367 3.0081 0.0000
0.0000 0.0000 27.4873
La Zr Pt
3 6 3
Direct
0.0000 0.0000 0.0000
0.3333 0.6667 0.6667
0.6667 0.3333 0.3333
0.0000 0.0000 0.2323
0.0000 0.0000 0.7677
0.3333 0.6667 0.4343
0.3333 0.6667 0.8990
0.6667 0.3333 0.1010
0.6667 0.3333 0.5657
0.0000 0.0000 0.5000
0.3333 0.6667 0.1667
0.6667 0.3333 0.8333



Rb3LaS (GGA-PBEsol, optimized geometry); electronic total energy = -8.25 eV/cell; density = 2.600 g/cm3; SG = Pm-3m, No. 221; ΔE_f (raw) = 912 meV/atom; magnetic moment = 3.90 μB/f.u.; DOS(E_F) = 5.3 states/eV/cell
1.0
6.4869 0.0000 0.0000
0.0000 6.4869 0.0000
0.0000 0.0000 6.4869
Rb La S
3 1 1
Direct
0.0000 0.0000 0.5000
0.0000 0.5000 0.0000
0.5000 0.0000 0.0000
0.0000 0.0000 0.0000
0.5000 0.5000 0.5000



RbLaSb2S (GGA-PBEsol, optimized geometry); electronic total energy = -20.65 eV/cell; density = 5.321 g/cm3; SG = P4/mmm, No. 123; ΔE_f (raw) = -156 meV/atom; magnetic moment = 0.00 μB/f.u.; DOS(E_F) = 2.7 states/eV/cell
1.0
5.3614 0.0000 0.0000
0.0000 5.3614 0.0000
0.0000 0.0000 5.4278
Rb La Sb S
1 1 2 1
Direct
0.0000 0.0000 0.0000
0.5000 0.5000 0.0000
0.0000 0.5000 0.5000
0.5000 0.0000 0.5000
0.0000 0.0000 0.5000



RbLaSiS4 (GGA-PBEsol, optimized geometry); electronic total energy = -160.72 eV/cell; density = 3.474 g/cm3; SG = Pnma, No. 62; ΔE_f (raw) = -1504 meV/atom; magnetic moment = 0.00 μB/f.u.; DOS(E_F) = 0.0 states/eV/cell
1.0
17.1642 0.0000 0.0000
0.0000 6.5425 0.0000
0.0000 0.0000 6.4826
Rb La Si S
4 4 4 16
Direct
0.2164 0.2500 0.0326
0.2836 0.7500 0.5326
0.7164 0.2500 0.4674
0.7836 0.7500 0.9674
0.0245 0.7500 0.7124
0.4755 0.2500 0.2124
0.5245 0.7500 0.7876
0.9755 0.2500 0.2876
0.0905 0.7500 0.2162
0.4095 0.2500 0.7162
0.5905 0.7500 0.2838
0.9095 0.2500 0.7838
0.0301 0.2500 0.8644
0.1098 0.0047 0.4131
0.1098 0.4953 0.4131
0.1641 0.7500 0.9572
0.3359 0.2500 0.4572
0.3902 0.5047 0.9131
0.3902 0.9953 0.9131
0.4699 0.7500 0.3644
0.5301 0.2500 0.6356
0.6098 0.0047 0.0869
0.6098 0.4953 0.0869
0.6641 0.7500 0.5428
0.8359 0.2500 0.0428
0.8902 0.5047 0.5869
0.8902 0.9953 0.5869
0.9699 0.7500 0.1356



RbLaSc3 (GGA-PBEsol, optimized geometry); electronic total energy = -21.65 eV/cell; density = 3.508 g/cm3; SG = Pm-3m, No. 221; excess energy over the best structure of this formula in the dataset = 0 meV per atom; magnetic moment = 0.03 μB/f.u.; DOS(E_F) = 7.0 states/eV/cell
1.0
5.5400 0.0000 0.0000
0.0000 5.5400 0.0000
0.0000 0.0000 5.5400
Rb La Sc
1 1 3
Direct
0.0000 0.0000 0.0000
0.5000 0.5000 0.5000
0.0000 0.5000 0.5000
0.5000 0.0000 0.5000
0.5000 0.5000 0.0000



RbLa3Se (GGA-PBEsol, optimized geometry); electronic total energy = -16.65 eV/cell; density = 5.777 g/cm3; SG = Pm-3m, No. 221; ΔE_f (raw) = 852 meV/atom; magnetic moment = 0.00 μB/f.u.; DOS(E_F) = 6.1 states/eV/cell
1.0
5.5074 0.0000 0.0000
0.0000 5.5074 0.0000
0.0000 0.0000 5.5074
Rb La Se
1 3 1
Direct
0.0000 0.0000 0.0000
0.0000 0.0000 0.5000
0.0000 0.5000 0.0000
0.5000 0.0000 0.0000
0.5000 0.5000 0.5000



RbLa2Si (GGA-PBEsol, optimized geometry); electronic total energy = -66.23 eV/cell; density = 4.614 g/cm3; SG = I-42d, No. 122; ΔE_f (raw) = 227 meV/atom; magnetic moment = 0.00 μB/f.u.; DOS(E_F) = 17.3 states/eV/cell
1.0
8.9130 0.0000 0.0000
0.0000 8.9130 0.0000
0.0000 0.0000 7.0915
Rb La Si
4 8 4
Direct
0.0000 0.0000 0.0000
0.0000 0.5000 0.2500
0.5000 0.0000 0.7500
0.5000 0.5000 0.5000
0.1928 0.2500 0.6250
0.2500 0.6928 0.8750
0.2500 0.8072 0.3750
0.3072 0.2500 0.1250
0.6928 0.7500 0.1250
0.7500 0.1928 0.3750
0.7500 0.3072 0.8750
0.8072 0.7500 0.6250
0.0000 0.0000 0.5000
0.0000 0.5000 0.7500
0.5000 0.0000 0.2500
0.5000 0.5000 0.0000